# NpPaAlOs | the Alexandria database | GGA-PBE | relaxed
data_NpPaAlOs
_chemical_formula_sum 'Np4 Pa4 Al4 Os4'
_cell_length_a 6.746
_cell_length_b 6.746
_cell_length_c 6.746
_cell_angle_alpha 90.00
_cell_angle_beta 90.00
_cell_angle_gamma 90.00
_symmetry_space_group_name_H-M 'F -4 3 m'
_symmetry_Int_Tables_number 216
_symmetry_space_group_name_Hall 'F -4 2 3'
loop_
_atom_site_label
_atom_site_type_symbol
_atom_site_fract_x
_atom_site_fract_y
_atom_site_fract_z
Np1 Np 0.000 0.000 0.000
Pa1 Pa 0.250 0.250 0.250
Al1 Al 0.250 0.250 0.750
Os1 Os 0.000 0.000 0.500
# magnetic moment = 19.99 μB/cell
# total DFT energy (no corrections) = -9.4059 eV per atom
# DFT formation energy = -0.0536 eV/atom



# CdHg2Pb | the Alexandria database | GGA-PBE | relaxed
data_CdHg2Pb
_chemical_formula_sum 'Cd4 Hg8 Pb4'
_cell_length_a 7.524
_cell_length_b 7.524
_cell_length_c 7.524
_cell_angle_alpha 90.00
_cell_angle_beta 90.00
_cell_angle_gamma 90.00
_symmetry_space_group_name_H-M 'F -4 3 m'
_symmetry_Int_Tables_number 216
_symmetry_space_group_name_Hall 'F -4 2 3'
loop_
_atom_site_label
_atom_site_type_symbol
_atom_site_fract_x
_atom_site_fract_y
_atom_site_fract_z
Cd1 Cd 0.000 0.000 0.000
Hg1 Hg 0.000 0.000 0.500
Hg2 Hg 0.250 0.250 0.750
Pb1 Pb 0.250 0.250 0.250
# magnetic moment = 0.00 μB/cell
# total DFT energy (no corrections) = -1.2076 eV per atom
# DFT formation energy = 0.0991 eV/atom



# CsBiRuO6 | the Alexandria database | GGA-PBE | relaxed
data_CsBiRuO6
_chemical_formula_sum 'Cs1 Bi1 Ru1 O6'
_cell_length_a 5.6486
_cell_length_b 5.6486
_cell_length_c 6.4276
_cell_angle_alpha 90.00
_cell_angle_beta 90.00
_cell_angle_gamma 120.00
_symmetry_space_group_name_H-M 'P 3 1 2'
_symmetry_Int_Tables_number 149
loop_
_symmetry_equiv_pos_as_xyz
'x,y,z'
'-y,x-y,z'
'-x+y,-x,z'
'-y,-x,-z'
'-x+y,y,-z'
'x,x-y,-z'
loop_
_atom_site_label
_atom_site_type_symbol
_atom_site_fract_x
_atom_site_fract_y
_atom_site_fract_z
Cs1 Cs 0.0000 0.0000 0.0000
Bi1 Bi 0.3333 0.6667 0.5000
Ru1 Ru 0.6667 0.3333 0.5000
O1 O 0.4650 0.0337 0.6883
# energy relative to the elements, uncorrected = -0.996 eV per atom
# magnetic moment = 0.00 μB/cell
# total DFT energy (no corrections) = -5.8586 eV per atom



# Rb3HfSc3S8 | the Alexandria database | GGA-PBE | relaxed
data_Rb3HfSc3S8
_chemical_formula_sum 'Rb9 Hf3 Sc9 S24'
_cell_length_a 7.5827
_cell_length_b 7.5827
_cell_length_c 23.3427
_cell_angle_alpha 90.00
_cell_angle_beta 90.00
_cell_angle_gamma 120.00
_symmetry_space_group_name_H-M 'R -3 m'
_symmetry_Int_Tables_number 166
_symmetry_space_group_name_Hall '-R 3 2"'
loop_
_atom_site_label
_atom_site_type_symbol
_atom_site_fract_x
_atom_site_fract_y
_atom_site_fract_z
Rb1 Rb 0.0000 0.5000 0.0000
Hf1 Hf 0.0000 0.0000 0.5000
Sc1 Sc 0.0000 0.5000 0.5000
S1 S 0.0000 0.0000 0.2270
S2 S 0.0048 0.5024 0.2270
# energy relative to the elements, uncorrected = -1.728 eV per atom
# magnetic moment = 0.00 μB/cell
# total DFT energy (no corrections) = -6.0524 eV per atom



# Li3Mg | the Alexandria database | GGA-PBE | relaxed
data_Li3Mg
_chemical_formula_sum 'Li6 Mg2'
_cell_length_a 10.384
_cell_length_b 3.112
_cell_length_c 5.189
_cell_angle_alpha 90.00
_cell_angle_beta 104.92
_cell_angle_gamma 90.00
_symmetry_space_group_name_H-M 'C 1 2/m 1'
_symmetry_Int_Tables_number 12
loop_
_symmetry_equiv_pos_as_xyz
'x,y,z'
'-x,-y,-z'
'-x,y,-z'
'x,-y,z'
'x+1/2,y+1/2,z'
'-x+1/2,-y+1/2,-z'
'-x+1/2,y+1/2,-z'
'x+1/2,-y+1/2,z'
loop_
_atom_site_label
_atom_site_type_symbol
_atom_site_fract_x
_atom_site_fract_y
_atom_site_fract_z
Li1 Li 0.000 0.000 0.000
Li2 Li 0.246 0.500 0.248
Mg1 Mg 0.000 0.500 0.500
# magnetic moment = 0.00 μB/cell
# total DFT energy (no corrections) = -1.8707 eV per atom
# DFT formation energy = -0.0367 eV/atom



# Tb4SmAg2 | the Alexandria database | GGA-PBE | relaxed
data_Tb4SmAg2
_chemical_formula_sum 'Tb12 Sm3 Ag6'
_cell_length_a 4.9794
_cell_length_b 4.9794
_cell_length_c 30.7398
_cell_angle_alpha 90.00
_cell_angle_beta 90.00
_cell_angle_gamma 120.00
_symmetry_space_group_name_H-M 'R -3 m'
_symmetry_Int_Tables_number 166
_symmetry_space_group_name_Hall '-R 3 2"'
loop_
_atom_site_label
_atom_site_type_symbol
_atom_site_fract_x
_atom_site_fract_y
_atom_site_fract_z
Tb1 Tb 0.0000 0.0000 0.1046
Tb2 Tb 0.0000 0.0000 0.2979
Sm1 Sm 0.0000 0.0000 0.5000
Ag1 Ag 0.0000 0.0000 0.3984
# magnetic moment = 3.80 μB/cell
# total DFT energy (no corrections) = -3.9568 eV per atom
# DFT formation energy = 0.1779 eV/atom